(1)
## ThBeN2 (PBE)

Data for an optimized crystal structure of ThBeN2.

Cell: 5.5715 5.5715 5.3008 Å, 90.00 90.00 144.88°
Fractional positions:
Th 0.1321 0.8679 0.7500
Th 0.8679 0.1321 0.2500
Be 0.4052 0.5948 0.7500
Be 0.5948 0.4052 0.2500
N 0.1985 0.8015 0.2500
N 0.5000 0.5000 0.0000
N 0.5000 0.5000 0.5000
N 0.8015 0.1985 0.7500

raw formation energy: -1376 meV per atom
crystal system: orthorhombic
mass density: 9440 kg/m3
symmetry: Cmcm (63)
E above lowest polymorph: 0.0000 eV/atom
total DFT energy (no corrections): -0.6119 Ry/atom

(2)
## CaTaSb2C (PBE)

Data for an optimized crystal structure of CaTaSb2C.

Cell: 5.5207 5.5207 5.0632 Å, 90.00 90.00 90.00°
Fractional positions:
Ca 0.0000 0.0000 0.0000
Ta 0.0000 0.0000 0.5000
Sb 0.0000 0.5000 0.0000
Sb 0.5000 0.0000 0.0000
C 0.5000 0.5000 0.5000

raw formation energy: 2844 meV per atom
crystal system: tetragonal
mass density: 5128 kg/m3
symmetry: P4/mmm (123)
total DFT energy (no corrections): -0.2514 Ry/atom

(3)
## La2ScPtI (PBE)

Data for an optimized crystal structure of La2ScPtI.

Cell: 5.5784 5.5784 5.7652 Å, 90.00 90.00 90.00°
Fractional positions:
La 0.0000 0.5000 0.0000
La 0.5000 0.0000 0.0000
Sc 0.0000 0.0000 0.5000
Pt 0.5000 0.5000 0.0000
I 0.5000 0.5000 0.5000

raw formation energy: -13 meV per atom
crystal system: tetragonal
mass density: 5968 kg/m3
symmetry: P4/mmm (123)
total DFT energy (no corrections): -0.3505 Ry/atom

Question: Number 2 is which compound?
Answer: CaTaSb2C

Please write out number 2 again, unchanged.
## CaTaSb2C (PBE)

Data for an optimized crystal structure of CaTaSb2C.

Cell: 5.5207 5.5207 5.0632 Å, 90.00 90.00 90.00°
Fractional positions:
Ca 0.0000 0.0000 0.0000
Ta 0.0000 0.0000 0.5000
Sb 0.0000 0.5000 0.0000
Sb 0.5000 0.0000 0.0000
C 0.5000 0.5000 0.5000

raw formation energy: 2844 meV per atom
crystal system: tetragonal
mass density: 5128 kg/m3
symmetry: P4/mmm (123)
total DFT energy (no corrections): -0.2514 Ry/atom